(1)
InCu2Pt: PBEsol geometry, meta-GGA SCAN.

Results
energy of formation	-0.202	eV/atom

Cell lengths 3.9175, 3.9175, 4.6672 Å; angles 114.81, 114.81, 90.00 degrees
Last column: nearest neighbours and their distance in Å.
Positions (direct):
Pt 0.0000 0.0000 0.0000  8 Cu 2.71, 4 In 2.77
Cu 0.7500 0.2500 0.5000  4 In 2.71, 4 Pt 2.71, 4 Cu 2.77
Cu 0.2500 0.7500 0.5000  4 In 2.71, 4 Pt 2.71, 4 Cu 2.77
In 0.5000 0.5000 0.0000  8 Cu 2.71, 4 Pt 2.77


(2)
MnBe2Nb2: PBEsol geometry, meta-GGA SCAN.

Results
energy of formation	-0.137	eV/atom

Cell lengths 3.2723, 6.1438, 6.1438 Å; angles 90.00, 90.00, 90.00 degrees
Last column: nearest neighbours and their distance in Å.
Positions (direct):
Be 0.0000 0.6202 0.1202  1 Be 2.09
Nb 0.5000 0.8208 0.3208  6 Be 2.39-2.49
Be 0.0000 0.8798 0.6202  1 Be 2.09
Nb 0.5000 0.6792 0.8208  6 Be 2.39-2.49
Nb 0.5000 0.3208 0.1792  6 Be 2.39-2.49
Be 0.0000 0.1202 0.3798  1 Be 2.09
Mn 0.0000 0.5000 0.5000  4 Be 2.45
Nb 0.5000 0.1792 0.6792  6 Be 2.39-2.49
Be 0.0000 0.3798 0.8798  1 Be 2.09
Mn 0.0000 0.0000 0.0000  4 Be 2.45


(3)
PRhAu: PBEsol geometry, meta-GGA SCAN.

Results
energy of formation	0.607	eV/atom

Cell lengths 4.2001, 4.2001, 4.2001 Å; angles 60.00, 60.00, 60.00 degrees
Last column: nearest neighbours and their distance in Å.
Positions (direct):
Au 0.2500 0.2500 0.2500  4 Rh 2.57, 4 P 2.57
Rh 0.5000 0.5000 0.5000  4 Au 2.57
P 0.0000 0.0000 0.0000  4 Au 2.57


(4)
Ag2BiSbTe2Se2: PBEsol geometry, meta-GGA SCAN.

Results
ΔE_f (raw)	-0.1045	eV/atom

Cell lengths 5.8862, 5.9225, 7.2041 Å; angles 114.27, 114.11, 90.00 degrees
Last column: nearest neighbours and their distance in Å.
Positions (direct):
Te 0.7575 0.7575 0.5150  3 Ag 2.92-2.94, 2 Bi 2.97, 1 Sb 3.15
Ag 0.0060 0.0060 0.0121  3 Se 2.89-2.95, 3 Te 2.92-2.96
Ag 0.2552 0.7552 0.5105  3 Se 2.80-2.96, 3 Te 2.89-2.94
Sb 0.4894 0.4894 0.9787  3 Se 2.79-2.96, 2 Te 2.95
Se 0.4935 0.9935 0.9870  3 Ag 2.80-2.95, 1 Bi 2.86, 2 Sb 2.96
Se 0.2518 0.2518 0.5036  1 Sb 2.79, 3 Ag 2.89-2.96, 2 Bi 2.95
Bi 0.7374 0.2374 0.4748  3 Se 2.86-2.95, 3 Te 2.97-3.19
Te 0.0091 0.5091 0.0183  3 Ag 2.89-2.96, 2 Sb 2.95, 1 Bi 3.19


(5)
Li4TiCo5O12: PBEsol geometry, meta-GGA SCAN.

Results
ΔE_f (raw)	-1.9533	eV/atom

Cell lengths 4.8367, 8.3635, 10.5092 Å; angles 113.45, 94.40, 90.00 degrees
Last column: nearest neighbours and their distance in Å.
Positions (direct):
O 0.5582 0.8682 0.3899  2 Co 1.90, 1 Ti 1.98, 2 Li 2.12
O 0.1473 0.6192 0.8996  3 Co 1.87-1.89
Co 0.2500 0.9167 0.5001  6 O 1.90
O 0.3527 0.8808 0.1004  3 Co 1.87-1.89
O 0.8527 0.3808 0.1004  3 Co 1.87-1.89
O 0.5780 0.1949 0.3898  2 Co 1.90, 1 Ti 1.98, 2 Li 2.12
O 0.5582 0.5217 0.3899  2 Co 1.90, 1 Ti 1.98, 2 Li 2.12
Li 0.2920 0.0450 0.7573  6 O 2.08-2.12
Co 0.7500 0.4167 0.4999  6 O 1.90
Co 0.7500 0.0833 0.4999  6 O 1.90
Li 0.7924 0.2122 0.7572  6 O 2.08-2.12
O 0.6473 0.1192 0.8996  3 Co 1.87-1.89
Co 0.2500 0.5833 0.5001  6 O 1.90
O 0.0775 0.6952 0.3904  2 Co 1.90, 1 Ti 1.98, 2 Li 2.12
O 0.9416 0.6317 0.6099  2 Co 1.90, 1 Ti 1.98, 2 Li 2.12
O 0.0584 0.3683 0.3901  2 Co 1.90, 1 Ti 1.98, 2 Li 2.12
O 0.3445 0.5516 0.1032  3 Co 1.87-1.89, 2 Li 2.08
O 0.3527 0.2196 0.1004  3 Co 1.87-1.89
Li 0.7080 0.9550 0.2427  6 O 2.08-2.12
Li 0.2076 0.7878 0.2428  6 O 2.08-2.12
Co 0.5000 0.0000 0.0000  6 O 1.87-1.89
Li 0.7924 0.5449 0.7572  6 O 2.08-2.12
Ti 0.2511 0.2500 0.5000  6 O 1.98
O 0.8445 0.0516 0.1032  3 Co 1.87-1.89, 2 Li 2.08
Co 0.0000 0.1643 0.0000  6 O 1.87-1.89
O 0.9225 0.3048 0.6096  2 Co 1.90, 1 Ti 1.98, 2 Li 2.12
O 0.4220 0.8051 0.6102  2 Co 1.90, 1 Ti 1.98, 2 Li 2.12
O 0.6555 0.4484 0.8968  3 Co 1.87-1.89, 2 Li 2.08
O 0.0584 0.0218 0.3901  2 Co 1.90, 1 Ti 1.98, 2 Li 2.12
Co 0.0000 0.5000 0.0000  6 O 1.87-1.89
O 0.1555 0.9484 0.8968  3 Co 1.87-1.89, 2 Li 2.08
O 0.4418 0.1318 0.6101  2 Co 1.90, 1 Ti 1.98, 2 Li 2.12
Co 0.5000 0.6643 0.0000  6 O 1.87-1.89
Li 0.2076 0.4551 0.2428  6 O 2.08-2.12
O 0.8527 0.7196 0.1004  3 Co 1.87-1.89
Co 0.5000 0.3357 0.0000  6 O 1.87-1.89
O 0.4418 0.4783 0.6101  2 Co 1.90, 1 Ti 1.98, 2 Li 2.12
Li 0.2920 0.7123 0.7573  6 O 2.08-2.12
Li 0.7080 0.2877 0.2427  6 O 2.08-2.12
Co 0.0000 0.8357 0.0000  6 O 1.87-1.89
O 0.6473 0.7804 0.8996  3 Co 1.87-1.89
O 0.9416 0.9782 0.6099  2 Co 1.90, 1 Ti 1.98, 2 Li 2.12
Ti 0.7489 0.7500 0.5000  6 O 1.98
O 0.1473 0.2804 0.8996  3 Co 1.87-1.89


(6)
BaRh2C: PBEsol geometry, meta-GGA SCAN.

Results
energy of formation	-0.052	eV/atom

Cell lengths 5.8283, 5.8283, 5.8283 Å; angles 109.62, 109.39, 109.39 degrees
Last column: nearest neighbours and their distance in Å.
Positions (direct):
Rh 0.3230 0.4480 0.6250  2 C 1.95
C 0.5000 0.2500 0.7500  4 Rh 1.95
Ba 0.0000 0.0000 0.0000  8 Rh 3.07-3.44, 2 C 3.36
C 0.0000 0.5000 0.5000  4 Rh 1.95
Rh 0.8230 0.3750 0.6980  2 C 1.95
Ba 0.5000 0.7500 0.2500  8 Rh 3.07-3.44, 2 C 3.36
Rh 0.6770 0.3020 0.1250  2 C 1.95
Rh 0.1770 0.8750 0.5520  2 C 1.95


(7)
GaHgSb2I: PBEsol geometry, meta-GGA SCAN.

Results
ΔE_f (raw)	0.4729	eV/atom

Cell lengths 5.2785, 5.2785, 5.5935 Å; angles 90.00, 90.00, 90.00 degrees
Last column: nearest neighbours and their distance in Å.
Positions (direct):
Ga 0.0000 0.0000 0.0000  4 Sb 2.64, 2 I 2.80
Hg 0.5000 0.5000 0.5000  4 I 3.73, 8 Sb 3.85
I 0.0000 0.0000 0.5000  2 Ga 2.80
Sb 0.0000 0.5000 0.0000  2 Ga 2.64
Sb 0.5000 0.0000 0.0000  2 Ga 2.64


(8)
Sc2SiP: PBEsol geometry, meta-GGA SCAN.

Results
ΔE_f (raw)	-0.9894	eV/atom

Cell lengths 3.7628, 3.7628, 5.3116 Å; angles 90.00, 90.00, 90.00 degrees
Last column: nearest neighbours and their distance in Å.
Positions (direct):
Si 0.0000 0.0000 0.0000  6 Sc 2.66
Sc 0.5000 0.5000 0.0000  2 P 2.66, 4 Si 2.66
P 0.5000 0.5000 0.5000  6 Sc 2.66
Sc 0.0000 0.0000 0.5000  2 Si 2.66, 4 P 2.66